Computed, not measured: a relaxed structure of MnIn2SiO6 at the GGA+U level of DFT.

As for the final energy: -6.66 eV per atom.

The space group is R3 (No. 146, hexagonal axes) and the conventional cell measures 5.2965, 5.2965 and 14.0088 Å, with angles of 90.00, 90.00 and 120.00 degrees. The asymmetric unit holds Mn at (0.0000, 0.0000, 0.0000), In at (0.0000, 0.0000, 0.2717), In at (0.0000, 0.0000, 0.7814), Si at (0.0000, 0.0000, 0.4836), O at (0.0252, 0.3946, 0.2183) and O at (0.0700, 0.6834, 0.0660).